Ac8HgRu3I4: relaxed, PBE.

Output
Uncorrected formation energy: -0.737 eV per atom
Total magnetic moment: 0.000 μB per atom

a = 8.904 Å, b = 8.904 Å, c = 10.041 Å
α = 116.35°, β = 116.35°, γ = 60.01°
Element x y z (fractional)
Ac 0.205 0.740 0.685
Ac 0.230 0.230 0.689
Ac 0.260 0.260 0.315
Ac 0.260 0.795 0.315
Ac 0.740 0.205 0.685
Ac 0.740 0.740 0.685
Ac 0.770 0.770 0.311
Ac 0.795 0.260 0.315
Hg 0.500 0.500 0.500
Ru 0.000 0.000 0.500
Ru 0.000 0.500 0.500
Ru 0.500 0.000 0.500
I 0.000 0.000 0.000
I 0.000 0.500 0.000
I 0.500 0.000 0.000
I 0.500 0.500 0.000